First-principles (GGA-PBE) data for an optimized crystal structure of LiTh2Zn, as listed in the Alexandria database.

The structure belongs to space group P4/mmm (No. 123); the cell edges are 5.1371, 5.1371 and 3.7421 Å and the angles 90.00°, 90.00° and 90.00°. The asymmetric unit holds Li at (0.0000, 0.0000, 0.0000), Th at (0.0000, 0.5000, 0.5000) and Zn at (0.5000, 0.5000, 0.0000).

Its formation energy is 0.020 eV/atom.

---

First-principles (GGA-PBE) data for an optimized crystal structure of Li2ThZn, as listed in the Alexandria database.

The structure belongs to space group R-3m (No. 166, hexagonal axes); the cell edges are 3.2150, 3.2150 and 31.6659 Å and the angles 90.00°, 90.00° and 120.00°. The asymmetric unit holds Li at (0.0000, 0.0000, 0.1008), Th at (0.0000, 0.0000, 0.0000) and Zn at (0.0000, 0.0000, 0.5000).

Its formation energy is 0.207 eV/atom.

---

First-principles (GGA-PBE) data for an optimized crystal structure of Li2Th3Zn9, as listed in the Alexandria database.

The structure belongs to space group Immm (No. 71); the cell edges are 4.5169, 8.8660 and 13.4112 Å and the angles 90.00°, 90.00° and 90.00°. The asymmetric unit holds Li at (0.0000, 0.1812, 0.0000), Th at (0.0000, 0.0000, 0.2114), Th at (0.0000, 0.0000, 0.5000), Zn at (0.0000, 0.2852, 0.3619), Zn at (0.0000, 0.3566, 0.1548) and Zn at (0.0000, 0.5000, 0.5000).

Its formation energy is -0.245 eV/atom.